No. 1
{
  "formula": "CeZnGaNi",
  "functional": "PBE-GGA",
  "state": "relaxed",
  "cell": [[4.6360, 0.0000, 0.0000], [2.3180, 4.0149, 0.0000], [2.3180, 1.3383, 3.7853]],
  "species": ["Ga", "Ce", "Ni", "Zn"],
  "frac_coords": [[0.5000, 0.5000, 0.5000], [0.0000, 0.0000, 0.0000], [0.2500, 0.2500, 0.2500], [0.7500, 0.7500, 0.7500]],
  "final_energy_ev_per_atom": -4.34,
  "ef_ev_per_fu": -1.35,
  "magmom_total_mub_per_cell": 0.0
}

***

No. 2
{
  "formula": "Pm2HgO",
  "functional": "PBE-GGA",
  "state": "relaxed",
  "cell": [[4.9824, 0.0000, 0.0000], [0.0000, 6.9601, 0.0000], [0.0000, 0.0000, 10.4143]],
  "species": ["O", "O", "O", "O", "Pm", "Pm", "Pm", "Pm", "Pm", "Pm", "Pm", "Pm", "Hg", "Hg", "Hg", "Hg"],
  "frac_coords": [[0.7500, 0.3956, 0.1012], [0.7500, 0.8956, 0.3988], [0.2500, 0.6044, 0.8988], [0.2500, 0.1044, 0.6012], [0.2500, 0.8548, 0.4436], [0.7500, 0.6452, 0.9436], [0.7500, 0.5728, 0.2966], [0.2500, 0.4272, 0.7034], [0.2500, 0.9272, 0.7966], [0.7500, 0.1452, 0.5564], [0.2500, 0.3548, 0.0564], [0.7500, 0.0728, 0.2034], [0.7500, 0.1668, 0.8655], [0.7500, 0.6668, 0.6345], [0.2500, 0.3332, 0.3655], [0.2500, 0.8332, 0.1345]],
  "final_energy_ev_per_atom": -5.25,
  "formation_energy_uncorrected_ev_per_atom": -1.560,
  "e_above_lowest_polymorph_ev_per_atom": 0.000,
  "magmom_total_mub_per_cell": 0.0
}

***

No. 3
{
  "formula": "ScAlRe2",
  "functional": "PBE-GGA",
  "state": "relaxed",
  "cell": [[-5.2788, 4.9263, 1.0945], [-0.4433, -2.0305, 7.0009], [-1.0572, 3.2400, 4.6817]],
  "species": ["Al", "Al", "Re", "Re", "Re", "Re", "Sc", "Sc"],
  "frac_coords": [[0.2500, 0.7500, 0.5000], [0.5000, 0.5000, 0.0000], [0.5894, 0.1250, 0.2500], [0.1606, 0.6250, 0.2500], [0.8750, 0.8394, 0.7500], [0.3750, 0.4106, 0.7500], [0.7500, 0.2500, 0.5000], [0.0000, 0.0000, 0.0000]],
  "final_energy_ev_per_atom": -8.14,
  "ef_ev_per_fu": 2.40,
  "magmom_total_mub_per_cell": 0.0
}

***

No. 4
{
  "formula": "K2ZrAs",
  "functional": "PBE-GGA",
  "state": "relaxed",
  "cell": [[-4.9633, -4.4199, -1.4681], [-3.1101, -4.3827, 4.1766], [2.0041, 6.4666, -0.7006]],
  "species": ["Zr", "As", "K", "K"],
  "frac_coords": [[0.2500, 0.7500, 0.5000], [0.7500, 0.2500, 0.5000], [0.0000, 0.0000, 0.0000], [0.5000, 0.5000, 0.0000]],
  "final_energy_ev_per_atom": -3.61,
  "ef_ev_per_fu": 0.94,
  "magmom_total_mub_per_cell": 0.0
}

***

No. 5
{
  "formula": "AlPt7Rh2",
  "functional": "PBE-GGA",
  "state": "relaxed",
  "cell": [[-1.3237, -1.7244, 3.5278], [-0.9236, -6.4404, -3.4946], [6.4046, 1.7268, 3.2472]],
  "species": ["Pt", "Pt", "Pt", "Pt", "Pt", "Pt", "Pt", "Rh", "Rh", "Al"],
  "frac_coords": [[0.5000, 0.0820, 0.2924], [0.0000, 0.8086, 0.1914], [0.0000, 0.1914, 0.8086], [0.5000, 0.9180, 0.7076], [0.5000, 0.2924, 0.0820], [0.5000, 0.7076, 0.9180], [0.5000, 0.5000, 0.5000], [0.5000, 0.3007, 0.6993], [0.5000, 0.6993, 0.3007], [0.0000, 0.0000, 0.0000]],
  "final_energy_ev_per_atom": -5.84,
  "ef_ev_per_fu": 2.30,
  "magmom_total_mub_per_cell": 0.0
}

***

No. 6
{
  "formula": "NdEr3Fe8",
  "functional": "PBE-GGA",
  "state": "relaxed",
  "cell": [[-1.6248, 0.7974, -4.8154], [1.5082, -3.1487, -3.7782], [-6.7015, -5.6966, -1.4299]],
  "species": ["Nd", "Er", "Er", "Er", "Fe", "Fe", "Fe", "Fe", "Fe", "Fe", "Fe", "Fe"],
  "frac_coords": [[0.8751, 0.8751, 0.3747], [0.3751, 0.3751, 0.8748], [0.4994, 0.4994, 0.5017], [0.0006, 0.0006, 0.9983], [0.9406, 0.4383, 0.1829], [0.9373, 0.9373, 0.6918], [0.9373, 0.4336, 0.6918], [0.4336, 0.9373, 0.6918], [0.6880, 0.6880, 0.9359], [0.4383, 0.9406, 0.1829], [0.4383, 0.4383, 0.1829], [0.1866, 0.1866, 0.4403]],
  "final_energy_ev_per_atom": -7.25,
  "ef_ev_per_fu": -0.83,
  "magmom_total_mub_per_cell": 14.4
}

***

No. 7
{
  "formula": "Sr4Fe5",
  "functional": "PBE-GGA",
  "state": "relaxed",
  "cell": [[-5.7268, 5.7268, 1.8737], [5.7268, -5.7268, 1.8737], [5.7268, 5.7268, -1.8737]],
  "species": ["Fe", "Fe", "Fe", "Fe", "Fe", "Sr", "Sr", "Sr", "Sr"],
  "frac_coords": [[0.7093, 0.2907, 0.0000], [0.2907, 0.7093, 0.0000], [0.0000, 0.0000, 0.0000], [0.2907, 0.2907, 0.5814], [0.7093, 0.7093, 0.4186], [0.7239, 0.0000, 0.7239], [0.0000, 0.2761, 0.2761], [0.0000, 0.7239, 0.7239], [0.2761, 0.0000, 0.2761]],
  "final_energy_ev_per_atom": -4.66,
  "ef_ev_per_fu": 7.09,
  "magmom_total_mub_per_cell": 11.8
}

***

No. 8
{
  "formula": "Na2ZnCu3As4",
  "functional": "PBE-GGA",
  "state": "relaxed",
  "cell": [[-0.9014, -3.6880, -1.5573], [3.2502, 0.2577, -2.4917], [6.1392, -4.6779, 7.5243]],
  "species": ["As", "As", "As", "As", "Na", "Na", "Cu", "Cu", "Cu", "Zn"],
  "frac_coords": [[0.5000, 0.0000, 0.6392], [0.0000, 0.5000, 0.3608], [0.5000, 0.5000, 0.0000], [0.0000, 0.0000, 0.0000], [0.0000, 0.5000, 0.7436], [0.5000, 0.0000, 0.2564], [0.0000, 0.5000, 0.1382], [0.0000, 0.0000, 0.5000], [0.5000, 0.0000, 0.8618], [0.5000, 0.5000, 0.5000]],
  "final_energy_ev_per_atom": -3.69,
  "ef_ev_per_fu": -2.15,
  "magmom_total_mub_per_cell": 0.0
}

***

No. 9
{
  "formula": "Ba2TbSn3Au4",
  "functional": "PBE-GGA",
  "state": "relaxed",
  "cell": [[-1.6740, -3.3743, 3.0104], [-1.8721, -2.4049, -3.7366], [10.1595, -6.0866, -1.1729]],
  "species": ["Ba", "Ba", "Au", "Au", "Au", "Au", "Sn", "Sn", "Sn", "Tb"],
  "frac_coords": [[0.5000, 0.0000, 0.2292], [0.0000, 0.5000, 0.7708], [0.5000, 0.0000, 0.6438], [0.0000, 0.0000, 0.0000], [0.0000, 0.5000, 0.3562], [0.5000, 0.5000, 0.0000], [0.0000, 0.0000, 0.5000], [0.0000, 0.5000, 0.1231], [0.5000, 0.0000, 0.8769], [0.5000, 0.5000, 0.5000]],
  "final_energy_ev_per_atom": -4.01,
  "ef_ev_per_fu": -6.53,
  "magmom_total_mub_per_cell": 0.0
}

***

No. 10
{
  "formula": "BaBi2Br",
  "functional": "PBE-GGA",
  "state": "relaxed",
  "cell": [[0.0000, 4.1554, 4.1554], [4.1554, 0.0000, 4.1554], [4.1554, 4.1554, 0.0000]],
  "species": ["Bi", "Bi", "Br", "Ba"],
  "frac_coords": [[0.2500, 0.2500, 0.2500], [0.7500, 0.7500, 0.7500], [0.0000, 0.0000, 0.0000], [0.5000, 0.5000, 0.5000]],
  "final_energy_ev_per_atom": -3.03,
  "formation_energy_uncorrected_ev_per_atom": -0.192,
  "e_above_lowest_polymorph_ev_per_atom": 0.672,
  "magmom_total_mub_per_cell": 0.0
}

***

No. 11
{
  "formula": "Na3Ag4Se4",
  "functional": "PBE-GGA",
  "state": "relaxed",
  "cell": [[4.2624, 0.0000, 0.0000], [0.0000, 7.7704, 0.0000], [-2.1312, -3.8852, 7.4742]],
  "species": ["Se", "Se", "Se", "Se", "Ag", "Ag", "Ag", "Ag", "Na", "Na", "Na"],
  "frac_coords": [[0.2345, 0.7345, 0.4690], [0.5000, 0.2205, 0.0000], [0.5000, 0.7795, 0.0000], [0.7655, 0.2655, 0.5310], [0.3294, 0.1372, 0.6589], [0.3294, 0.5217, 0.6589], [0.6706, 0.8628, 0.3411], [0.6706, 0.4783, 0.3411], [0.1049, 0.1049, 0.2098], [0.8951, 0.8951, 0.7902], [0.0000, 0.5000, 0.0000]],
  "final_energy_ev_per_atom": -3.13,
  "formation_energy_uncorrected_ev_per_atom": -0.467,
  "magmom_total_mub_per_cell": 0.0
}

***

No. 12
{
  "formula": "Dy2Ge3PdPt4",
  "functional": "PBE-GGA",
  "state": "relaxed",
  "cell": [[-0.1359, -3.9826, 0.6718], [4.0078, -0.2162, -0.4712], [1.4185, 1.8439, 11.2186]],
  "species": ["Dy", "Dy", "Pd", "Pt", "Pt", "Pt", "Pt", "Ge", "Ge", "Ge"],
  "frac_coords": [[0.0000, 0.5000, 0.7407], [0.5000, 0.0000, 0.2593], [0.5000, 0.5000, 0.5000], [0.0000, 0.5000, 0.3418], [0.5000, 0.5000, 0.0000], [0.0000, 0.0000, 0.0000], [0.5000, 0.0000, 0.6582], [0.0000, 0.0000, 0.5000], [0.0000, 0.5000, 0.1334], [0.5000, 0.0000, 0.8666]],
  "final_energy_ev_per_atom": -6.08,
  "ef_ev_per_fu": -8.41,
  "magmom_total_mub_per_cell": 0.0
}